Entry from Alexandria via LeMat-Bulk: a relaxed structure of Ta2Ni4O9 (PBE with a Hubbard U).

magnetization = 0.533 μB per atom
crystal system = trigonal
N(E_F) = 0.00 states/eV/atom
DFT total energy = -7.152 eV per atom

Cell and atoms, written as CIF:
```
data_Ta2Ni4O9
_cell_length_a 5.1534
_cell_length_b 5.1534
_cell_length_c 14.1969
_cell_angle_alpha 90.00
_cell_angle_beta 90.00
_cell_angle_gamma 120.00
_symmetry_space_group_name_H-M 'P -3 c 1'
_symmetry_Int_Tables_number 165
_symmetry_space_group_name_Hall '-P 3 2"c'
loop_
_atom_site_label
_atom_site_fract_x
_atom_site_fract_y
_atom_site_fract_z
Ta1 0.0000 0.0000 0.1434
Ni1 0.3333 0.6667 0.1865
Ni2 0.3333 0.6667 0.4877
O1 0.0000 0.2906 0.2500
O2 0.0230 0.3455 0.5839
```

Entry from Alexandria via LeMat-Bulk: a relaxed structure of Ta2NiO6 (PBE with a Hubbard U).

magnetization = 0.220 μB per atom
crystal system = trigonal
distance to the lowest polymorph of the same formula = 0.8 kJ per mole of atoms
N(E_F) = 0.00 states/eV/atom

Cell and atoms, written as CIF:
```
data_Ta2NiO6
_cell_length_a 8.7320
_cell_length_b 8.7320
_cell_length_c 4.6069
_cell_angle_alpha 90.00
_cell_angle_beta 90.00
_cell_angle_gamma 120.00
_symmetry_space_group_name_H-M 'P 3 2 1'
_symmetry_Int_Tables_number 150
loop_
_symmetry_equiv_pos_as_xyz
'x,y,z'
'-y,x-y,z'
'-x+y,-x,z'
'y,x,-z'
'x-y,-y,-z'
'-x,-x+y,-z'
loop_
_atom_site_label
_atom_site_fract_x
_atom_site_fract_y
_atom_site_fract_z
Ta1 0.0000 0.3616 0.0000
Ta2 0.0000 0.6960 0.5000
Ni1 0.0000 0.0000 0.0000
Ni2 0.3333 0.6667 0.5042
O1 0.1015 0.5588 0.2612
O2 0.1110 0.2311 0.2351
O3 0.2113 0.4319 0.7419
```

Entry from Alexandria via LeMat-Bulk: a relaxed structure of TaNi3O (PBE with a Hubbard U).

magnetization = 0.001 μB per atom
crystal system = cubic
distance to the lowest polymorph of the same formula = 184.1 kJ per mole of atoms
N(E_F) = 0.92 states/eV/atom

Cell and atoms, written as CIF:
```
data_TaNi3O
_cell_length_a 4.456
_cell_length_b 4.456
_cell_length_c 4.456
_cell_angle_alpha 90.00
_cell_angle_beta 90.00
_cell_angle_gamma 90.00
_symmetry_space_group_name_H-M 'P m -3 m'
_symmetry_Int_Tables_number 221
_symmetry_space_group_name_Hall '-P 4 2 3'
loop_
_atom_site_label
_atom_site_fract_x
_atom_site_fract_y
_atom_site_fract_z
Ta1 0.000 0.000 0.000
Ni1 0.000 0.000 0.500
O1 0.500 0.500 0.500
```

Entry from Alexandria via LeMat-Bulk: a relaxed structure of TaNi2O (PBE with a Hubbard U).

magnetization = 0.000 μB per atom
crystal system = tetragonal
N(E_F) = 0.93 states/eV/atom
DFT total energy = -5.185 eV per atom

Cell and atoms, written as CIF:
```
data_TaNi2O
_cell_length_a 6.634
_cell_length_b 6.634
_cell_length_c 4.215
_cell_angle_alpha 90.00
_cell_angle_beta 90.00
_cell_angle_gamma 90.00
_symmetry_space_group_name_H-M 'I -4 2 d'
_symmetry_Int_Tables_number 122
_symmetry_space_group_name_Hall 'I -4 2bw'
loop_
_atom_site_label
_atom_site_fract_x
_atom_site_fract_y
_atom_site_fract_z
Ta1 0.000 0.000 0.000
Ni1 0.182 0.250 0.625
O1 0.000 0.000 0.500
```

Entry from Alexandria via LeMat-Bulk: a relaxed structure of TbTaNi2O6 (PBE with a Hubbard U).

magnetization = 0.400 μB per atom
crystal system = trigonal
N(E_F) = 0.00 states/eV/atom
DFT total energy = -7.457 eV per atom

Cell and atoms, written as CIF:
```
data_TbTaNi2O6
_cell_length_a 5.3272
_cell_length_b 5.3272
_cell_length_c 14.4551
_cell_angle_alpha 90.00
_cell_angle_beta 90.00
_cell_angle_gamma 120.00
_symmetry_space_group_name_H-M 'R 3'
_symmetry_Int_Tables_number 146
_symmetry_space_group_name_Hall 'R 3'
loop_
_atom_site_label
_atom_site_fract_x
_atom_site_fract_y
_atom_site_fract_z
Tb1 0.0000 0.0000 0.0000
Ta1 0.0000 0.0000 0.4908
Ni1 0.0000 0.0000 0.2881
Ni2 0.0000 0.0000 0.7885
O1 0.0168 0.3373 0.5514
O2 0.0282 0.7301 0.3927
```

Entry from Alexandria via LeMat-Bulk: a relaxed structure of TaNiTeO6 (PBE with a Hubbard U).

magnetization = 0.134 μB per atom
crystal system = trigonal
N(E_F) = 0.43 states/eV/atom
DFT total energy = -6.817 eV per atom

Cell and atoms, written as CIF:
```
data_TaNiTeO6
_cell_length_a 5.3113
_cell_length_b 5.3113
_cell_length_c 8.9826
_cell_angle_alpha 90.00
_cell_angle_beta 90.00
_cell_angle_gamma 120.00
_symmetry_space_group_name_H-M 'P -3 1 c'
_symmetry_Int_Tables_number 163
_symmetry_space_group_name_Hall '-P 3 2c'
loop_
_atom_site_label
_atom_site_fract_x
_atom_site_fract_y
_atom_site_fract_z
Ta1 0.3333 0.6667 0.2500
Ni1 0.0000 0.0000 0.0000
Te1 0.3333 0.6667 0.7500
O1 0.0078 0.3505 0.1306
```

Entry from Alexandria via LeMat-Bulk: a relaxed structure of TaTiNiO6 (PBE with a Hubbard U).

magnetization = 0.118 μB per atom
crystal system = tetragonal
N(E_F) = 0.35 states/eV/atom
DFT total energy = -8.051 eV per atom

Cell and atoms, written as CIF:
```
data_TaTiNiO6
_cell_length_a 4.711
_cell_length_b 4.711
_cell_length_c 9.035
_cell_angle_alpha 90.00
_cell_angle_beta 90.00
_cell_angle_gamma 90.00
_symmetry_space_group_name_H-M 'P 42 n m'
_symmetry_Int_Tables_number 102
loop_
_symmetry_equiv_pos_as_xyz
'x,y,z'
'-y+1/2,x+1/2,z+1/2'
'-x,-y,z'
'y+1/2,-x+1/2,z+1/2'
'-x+1/2,y+1/2,z+1/2'
'y,x,z'
'x+1/2,-y+1/2,z+1/2'
'-y,-x,z'
loop_
_atom_site_label
_atom_site_fract_x
_atom_site_fract_y
_atom_site_fract_z
Ta1 0.000 0.000 0.000
Ti1 0.000 0.000 0.332
Ni1 0.000 0.000 0.666
O1 0.191 0.191 0.168
O2 0.197 0.197 0.494
O3 0.201 0.201 0.837
```

Entry from Alexandria via LeMat-Bulk: a relaxed structure of Tb3Ni5O12 (PBE with a Hubbard U).

magnetization = 0.550 μB per atom
crystal system = cubic
N(E_F) = 0.29 states/eV/atom
DFT total energy = -6.036 eV per atom

Cell and atoms, written as CIF:
```
data_Tb3Ni5O12
_cell_length_a 12.367
_cell_length_b 12.367
_cell_length_c 12.367
_cell_angle_alpha 90.00
_cell_angle_beta 90.00
_cell_angle_gamma 90.00
_symmetry_space_group_name_H-M 'I a -3 d'
_symmetry_Int_Tables_number 230
_symmetry_space_group_name_Hall '-I 4bd 2c 3'
loop_
_atom_site_label
_atom_site_fract_x
_atom_site_fract_y
_atom_site_fract_z
Tb1 0.000 0.250 0.125
Ni1 0.000 0.000 0.000
Ni2 0.000 0.250 0.375
O1 0.027 0.056 0.652
```